1:
The following is a PBE calculation of a geometry-optimized PCCl2 structure, from the Alexandria database.

The structure in POSCAR format:
```
PCCl2
1.0
6.397 0.000 0.000
0.000 6.397 0.000
3.198 3.198 4.438
Cl C P
4 2 2
direct
0.875 0.625 0.750
0.375 0.625 0.750
0.375 0.625 0.250
0.375 0.125 0.250
0.500 0.500 0.000
0.250 0.750 0.500
0.000 0.000 0.000
0.750 0.250 0.500
```

Properties
Spin magnetization (μB/atom): 0.2479
D(E_F) (states/eV/cell): 2.59

=====

2:
The following is a PBE calculation of a geometry-optimized PCCl2 structure, from the Alexandria database.

The structure in POSCAR format:
```
PCCl2
1.0
2.574 -8.093 3.805
5.078 -6.551 4.230
2.853 -6.339 6.187
Cl C P
2 1 1
direct
0.058 0.058 0.058
0.942 0.942 0.942
0.000 0.000 0.000
0.500 0.500 0.500
```

Properties
Spin magnetization (μB/atom): 0.0000
D(E_F) (states/eV/cell): 2.08

=====

Most stable one: 2, least stable one: 1.

=====

1:
The following is a PBE calculation of a geometry-optimized P2CCl structure, from the Alexandria database.

The structure in POSCAR format:
```
P2CCl
1.0
1.614 -0.414 3.899
-1.007 2.801 3.020
-2.504 -1.161 3.219
P C Cl
2 1 1
direct
0.750 0.750 0.750
0.250 0.250 0.250
0.000 0.000 0.000
0.500 0.500 0.500
```

Properties
Spin magnetization (μB/atom): 0.0000
D(E_F) (states/eV/cell): 1.55

=====

2:
The following is a PBE calculation of a geometry-optimized P2CCl structure, from the Alexandria database.

The structure in POSCAR format:
```
P2CCl
1.0
6.051 0.000 0.000
0.000 6.051 0.000
3.025 3.025 3.428
C P Cl
2 4 2
direct
0.500 0.500 0.000
0.250 0.750 0.500
0.233 0.625 0.250
0.517 0.125 0.250
0.375 0.483 0.750
0.875 0.767 0.750
0.000 0.000 0.000
0.750 0.250 0.500
```

Properties
Spin magnetization (μB/atom): 0.0000
D(E_F) (states/eV/cell): 6.73

=====

Most stable one: 2, least stable one: 1.

=====

1:
The following is a PBE calculation of a geometry-optimized PPdCCl2 structure, from the Alexandria database.

The structure in POSCAR format:
```
PPdCCl2
1.0
-3.805 -3.176 -0.725
3.232 -3.542 -1.447
0.284 -1.100 3.327
Cl Pd C P
2 1 1 1
direct
0.500 0.000 0.000
0.000 0.500 0.000
0.500 0.500 0.500
0.000 0.000 0.000
0.000 0.000 0.500
```

Properties
Spin magnetization (μB/atom): 0.2772
D(E_F) (states/eV/cell): 5.88

=====

2:
The following is a PBE calculation of a geometry-optimized PPdCCl2 structure, from the Alexandria database.

The structure in POSCAR format:
```
PPdCCl2
1.0
-4.666 1.631 0.118
0.039 -0.245 4.937
1.512 4.310 0.202
P C Cl Pd
1 1 2 1
direct
0.000 0.000 0.500
0.500 0.500 0.500
0.500 0.000 0.000
0.000 0.500 0.000
0.000 0.000 0.000
```

Properties
Spin magnetization (μB/atom): 0.3237
D(E_F) (states/eV/cell): 3.27

=====

Most stable one: 1, least stable one: 2.